[1]
PaMnP2Ru | PBE-GGA | optimized geometry

Cell lengths 4.006, 4.006, 5.494 Å; angles 111.38, 111.38, 90.00 degrees
Fractional positions:
Ru1 0.250 0.750 0.500
P1 0.373 0.373 0.745
P2 0.627 0.627 0.255
Mn1 0.750 0.250 0.500
Pa1 0.000 0.000 0.000

Values from the calculation:
total DFT energy (no corrections)	-8.65	eV/atom
energy relative to the elements	-899.6	meV/atom
crystal system	tetragonal
space group	I-4m2, No. 119

***

[2]
Dy2HfScS4 | PBE-GGA | optimized geometry

Cell lengths 3.787, 6.550, 6.551 Å; angles 109.67, 90.00, 90.00 degrees
Fractional positions:
Hf1 0.500 0.500 0.000
Dy1 0.500 0.000 0.500
Dy2 0.000 0.500 0.500
S1 0.000 0.256 0.768
S2 0.500 0.245 0.232
S3 0.500 0.755 0.768
S4 0.000 0.744 0.232
Sc1 0.000 0.000 0.000

Values from the calculation:
total DFT energy (no corrections)	-6.99	eV/atom
crystal system	monoclinic
space group	P2/m, No. 10
energy relative to the elements, uncorrected	-1.74	eV per atom

***

[3]
Si2HgMo | PBE-GGA | optimized geometry

Cell lengths 8.585, 8.585, 8.585 Å; angles 20.75, 20.75, 20.75 degrees
Fractional positions:
Hg1 0.250 0.250 0.250
Si1 0.489 0.489 0.489
Si2 0.011 0.011 0.011
Mo1 0.750 0.750 0.750

Values from the calculation:
total DFT energy (no corrections)	-5.30	eV/atom
crystal system	trigonal
space group	R-3m, No. 166
energy relative to the elements, uncorrected	0.20	eV per atom

***

[4]
Na2TbAs3Pt4 | PBE-GGA | optimized geometry

Cell lengths 4.298, 4.298, 11.116 Å; angles 90.00, 90.00, 90.00 degrees
Fractional positions:
Pt1 0.000 0.000 0.000
Pt2 0.500 0.000 0.659
Pt3 0.000 0.500 0.341
Pt4 0.500 0.500 0.000
Tb1 0.500 0.500 0.500
As1 0.000 0.500 0.124
As2 0.000 0.000 0.500
As3 0.500 0.000 0.876
Na1 0.500 0.000 0.225
Na2 0.000 0.500 0.775

Values from the calculation:
total DFT energy (no corrections)	-5.10	eV/atom
energy relative to the elements	-566.6	meV/atom
crystal system	tetragonal
space group	P-4m2, No. 115

***

[5]
Sr2Al12CuPt3 | PBE-GGA | optimized geometry

Cell lengths 8.044, 8.044, 8.044 Å; angles 69.96, 69.96, 69.96 degrees
Fractional positions:
Pt1 0.000 0.500 0.000
Pt2 0.500 0.000 0.000
Pt3 0.000 0.000 0.500
Al1 0.343 0.874 0.874
Al2 0.874 0.343 0.874
Al3 0.874 0.874 0.343
Al4 0.126 0.657 0.126
Al5 0.889 0.242 0.242
Al6 0.111 0.758 0.758
Al7 0.657 0.126 0.126
Al8 0.242 0.889 0.242
Al9 0.758 0.758 0.111
Al10 0.126 0.126 0.657
Al11 0.758 0.111 0.758
Al12 0.242 0.242 0.889
Sr1 0.391 0.391 0.391
Sr2 0.609 0.609 0.609
Cu1 0.000 0.000 0.000

Values from the calculation:
total DFT energy (no corrections)	-4.11	eV/atom
energy relative to the elements	-198.4	meV/atom
crystal system	trigonal
space group	R-3m, No. 166

***

[6]
Tb3YTh3 | PBE-GGA | optimized geometry

Cell lengths 5.822, 9.522, 9.522 Å; angles 120.00, 90.00, 90.00 degrees
Fractional positions:
Th1 0.250 0.486 0.103
Th2 0.750 0.514 0.897
Th3 0.750 0.103 0.617
Th4 0.250 0.897 0.383
Th5 0.250 0.617 0.514
Th6 0.750 0.383 0.486
Tb1 0.250 0.761 0.957
Tb2 0.750 0.239 0.043
Tb3 0.750 0.804 0.761
Tb4 0.750 0.957 0.196
Tb5 0.250 0.196 0.239
Tb6 0.250 0.043 0.804
Y1 0.250 0.333 0.667
Y2 0.750 0.667 0.333

Values from the calculation:
total DFT energy (no corrections)	-6.03	eV/atom
energy relative to the elements	54.7	meV/atom
crystal system	hexagonal
space group	P6_3/m, No. 176

***

[7]
Ta2AlAs | PBE-GGA | optimized geometry

Cell lengths 3.106, 3.106, 7.040 Å; angles 90.00, 90.00, 90.00 degrees
Fractional positions:
Ta1 0.000 0.000 0.523
Ta2 0.000 0.000 0.977
As1 0.500 0.500 0.750
Al1 0.500 0.500 0.250

Values from the calculation:
total DFT energy (no corrections)	-8.15	eV/atom
energy relative to the elements	-125.8	meV/atom
crystal system	tetragonal
space group	P4/mmm, No. 123

***

[8]
AcSeI | PBE-GGA | optimized geometry

Cell lengths 4.779, 5.974, 11.197 Å; angles 90.00, 98.41, 90.00 degrees
Fractional positions:
Ac1 0.707 0.750 0.874
Ac2 0.293 0.250 0.126
Se1 0.731 0.250 0.945
Se2 0.269 0.750 0.055
I1 0.864 0.250 0.333
I2 0.136 0.750 0.667

Values from the calculation:
total DFT energy (no corrections)	-4.86	eV/atom
crystal system	monoclinic
space group	P2_1/m, No. 11
energy relative to the elements, uncorrected	-1.81	eV per atom

***

[9]
TiNbFeMo | PBE-GGA | optimized geometry

Cell lengths 4.401, 4.401, 4.401 Å; angles 60.00, 60.00, 60.00 degrees
Each line ends with the local moment (μB).
Fractional positions:
Ti1 0.250 0.250 0.250  -0.12
Nb1 0.750 0.750 0.750  -0.11
Fe1 0.500 0.500 0.500  0.51
Mo1 0.000 0.000 0.000  0.09

Values from the calculation:
total DFT energy (no corrections)	-9.47	eV/atom
energy relative to the elements	-159.7	meV/atom
crystal system	cubic
space group	F-43m, No. 216

***

[10]
BaY2Sb | PBE-GGA | optimized geometry

Cell lengths 5.305, 3.928, 6.890 Å; angles 76.08, 90.00, 90.00 degrees
Fractional positions:
Ba1 0.500 0.250 0.250
Y1 0.000 0.903 0.961
Y2 0.000 0.597 0.539
Sb1 0.500 0.750 0.750

Values from the calculation:
total DFT energy (no corrections)	-5.01	eV/atom
crystal system	monoclinic
space group	P2/m, No. 10
energy relative to the elements, uncorrected	-0.26	eV per atom

***

[11]
BeZn3Au | PBE-GGA | optimized geometry

Cell lengths 4.906, 4.906, 4.906 Å; angles 90.00, 90.00, 90.00 degrees
Fractional positions:
Zn1 0.500 0.000 0.000
Zn2 0.000 0.000 0.500
Zn3 0.000 0.500 0.000
Au1 0.000 0.000 0.000
Be1 0.500 0.500 0.500

Values from the calculation:
total DFT energy (no corrections)	-1.48	eV/atom
energy relative to the elements	681.2	meV/atom
crystal system	cubic
space group	Pm-3m, No. 221

***

[12]
Rb2TlHg2Br6 | PBE-GGA | optimized geometry

Cell lengths 8.554, 8.298, 9.097 Å; angles 115.65, 90.00, 121.02 degrees
Fractional positions:
Tl1 0.500 0.000 0.500
Br1 0.182 0.850 0.186
Br2 0.668 0.850 0.186
Br3 0.247 0.494 0.419
Br4 0.818 0.150 0.814
Br5 0.332 0.150 0.814
Br6 0.753 0.506 0.581
Rb1 0.726 0.452 0.178
Rb2 0.274 0.548 0.822
Hg1 0.039 0.079 0.175
Hg2 0.961 0.921 0.825

Values from the calculation:
total DFT energy (no corrections)	-2.28	eV/atom
crystal system	monoclinic
space group	C2/m, No. 12
energy relative to the elements, uncorrected	-0.92	eV per atom

***

Among the records above, which one has the highest total DFT energy (no corrections)? BeZn3Au